Fe2ReO: optimized geometry, GGA+U. Values from VASP.

Cell and atoms, written as Quantum ESPRESSO input:
```
&SYSTEM
  ibrav = 0, nat = 8, ntyp = 3
/
ATOMIC_SPECIES
O 16.00 O.upf
Fe 55.84 Fe.upf
Re 186.21 Re.upf
CELL_PARAMETERS angstrom
-2.671 -2.598 -4.522
2.129 -5.181 1.719
-3.030 -4.388 0.515
ATOMIC_POSITIONS angstrom
O -0.586 -6.729 0.416
O -0.271 -3.890 -1.401
Fe 0.018 -4.875 0.264
Fe -1.939 -3.153 -2.108
Fe -2.923 -9.669 -2.209
Fe -2.299 -6.637 -0.523
Re -2.986 -5.438 -2.705
Re 0.000 0.000 0.000
```

Output
Fermi-level density of states in states/eV per atom: 0.509
Calculated total energy in Ry/atom: -0.4903